(1)
The following is a PBE calculation of crystalline Li4Pb at its relaxed geometry, from the Alexandria database.

Excess energy over the best structure of this formula in the dataset ... 0.046 eV/atom
Crystal system ... orthorhombic
Energy of formation from the pure elements ... -0.152 eV per atom

```
data_Li4Pb
_chemical_formula_sum 'Li8 Pb2'
_space_group_name_H-M_alt 'I m m m'
_space_group_IT_number 71
_space_group_name_Hall '-I 2 2'
_cell_length_a 4.768
_cell_length_b 5.863
_cell_length_c 7.462
_cell_angle_alpha 90.00
_cell_angle_beta 90.00
_cell_angle_gamma 90.00
loop_
_atom_site_label
_atom_site_fract_x
_atom_site_fract_y
_atom_site_fract_z
_atom_site_occupancy
Li1 0.000 0.230 0.178 1
Pb1 0.000 0.500 0.500 1
```

---

(2)
The following is a PBE calculation of crystalline RuPtBr at its relaxed geometry, from the Alexandria database.

Formation energy from raw total energies ... 0.709 eV/atom
Excess energy over the best structure of this formula in the dataset ... 0.167 eV/atom
Crystal system ... orthorhombic

```
data_RuPtBr
_chemical_formula_sum 'Ru4 Pt4 Br4'
_space_group_name_H-M_alt 'F m m 2'
_space_group_IT_number 42
_space_group_name_Hall 'F 2 -2'
_cell_length_a 2.869
_cell_length_b 5.232
_cell_length_c 14.122
_cell_angle_alpha 90.00
_cell_angle_beta 90.00
_cell_angle_gamma 90.00
loop_
_atom_site_label
_atom_site_fract_x
_atom_site_fract_y
_atom_site_fract_z
_atom_site_occupancy
Ru1 0.000 0.000 0.000 1
Pt1 0.000 0.000 0.658 1
Br1 0.000 0.000 0.354 1
```

---

(3)
The following is a PBE calculation of crystalline BaZnP2 at its relaxed geometry, from the Alexandria database.

Crystal system ... cubic
Energy of formation from the pure elements ... 0.196 eV per atom

```
data_BaZnP2
_chemical_formula_sum 'Ba4 Zn4 P8'
_space_group_name_H-M_alt 'F -4 3 m'
_space_group_IT_number 216
_space_group_name_Hall 'F -4 2 3'
_cell_length_a 7.215
_cell_length_b 7.215
_cell_length_c 7.215
_cell_angle_alpha 90.00
_cell_angle_beta 90.00
_cell_angle_gamma 90.00
loop_
_atom_site_label
_atom_site_fract_x
_atom_site_fract_y
_atom_site_fract_z
_atom_site_occupancy
Ba1 0.000 0.000 0.000 1
Zn1 0.250 0.250 0.250 1
P1 0.000 0.000 0.500 1
P2 0.250 0.250 0.750 1
```

---

(4)
The following is a PBE calculation of crystalline ReAgHg2 at its relaxed geometry, from the Alexandria database.

Excess energy over the best structure of this formula in the dataset ... 0.439 eV/atom
Crystal system ... cubic
Energy of formation from the pure elements ... 1.003 eV per atom

```
data_ReAgHg2
_chemical_formula_sum 'Re4 Ag4 Hg8'
_space_group_name_H-M_alt 'F -4 3 m'
_space_group_IT_number 216
_space_group_name_Hall 'F -4 2 3'
_cell_length_a 6.741
_cell_length_b 6.741
_cell_length_c 6.741
_cell_angle_alpha 90.00
_cell_angle_beta 90.00
_cell_angle_gamma 90.00
loop_
_atom_site_label
_atom_site_fract_x
_atom_site_fract_y
_atom_site_fract_z
_atom_site_occupancy
Re1 0.000 0.000 0.000 1
Ag1 0.250 0.250 0.750 1
Hg1 0.000 0.000 0.500 1
Hg2 0.250 0.250 0.250 1
```

---

| no. | density of states at the Fermi level (states/eV/f.u.) |
| --- | --- |
| 1 | 0.34 |
| 2 | 4.10 |
| 3 | 4.16 |
| 4 | 1.60 |